10
Lattice="4.213 0.000 0.000 0.000 5.442 0.000 0.000 0.000 5.442" Properties=species:S:1:pos:R:3 comment="Mg2MnPtO6 (PBE with a Hubbard U, relaxed)" m_tot_mub_per_fu=2.6 e_tot_ev_per_atom=-5.887 pbc="T T T"
O 0.842 0.000 0.000
O 3.096 4.117 1.326
O 0.726 2.721 2.721
O 3.096 1.326 4.117
O 3.096 4.117 4.117
O 3.096 1.326 1.326
Pt 2.749 2.721 2.721
Mg 3.929 2.721 0.000
Mg 3.929 0.000 2.721
Mn 2.595 0.000 0.000